(1)
Crystalline Ga2NiAg at its relaxed geometry. Source: OQMD via LeMat-Bulk, functional PBE.

Computed properties:
space-group type: F-43m (216)
size of the total moment: 0.00 μB/f.u.

Cell lengths 4.4368, 4.4368, 4.4368 Å; angles 60.00, 60.00, 60.00 degrees
Atoms (fractional coordinates):
Ag1 0.5000 0.5000 0.5000
Ga1 0.2500 0.2500 0.2500
Ga2 0.0000 0.0000 0.0000
Ni1 0.7500 0.7500 0.7500

(2)
Crystalline GaNiAg at its relaxed geometry. Source: OQMD via LeMat-Bulk, functional PBE.

Computed properties:
space-group type: F-43m (216)
size of the total moment: 0.00 μB/f.u.

Cell lengths 4.1966, 4.1966, 4.1966 Å; angles 60.00, 60.00, 60.00 degrees
Atoms (fractional coordinates):
Ag1 0.0000 0.0000 0.0000
Ni1 0.7500 0.7500 0.7500
Ga1 0.2500 0.2500 0.2500

(3)
Crystalline GaAgO2 at its relaxed geometry. Source: OQMD via LeMat-Bulk, functional PBE.

Computed properties:
space-group type: P6_3/mmc (194)

Cell lengths 3.0044, 3.0044, 12.5026 Å; angles 90.00, 90.00, 120.00 degrees
Atoms (fractional coordinates):
O1 0.6667 0.3333 0.9190
O2 0.6667 0.3333 0.5810
O3 0.3333 0.6667 0.4190
O4 0.3333 0.6667 0.0810
Ga1 0.0000 0.0000 0.0000
Ga2 0.0000 0.0000 0.5000
Ag1 0.6667 0.3333 0.7500
Ag2 0.3333 0.6667 0.2500

(4)
Crystalline GaAgO3 at its relaxed geometry. Source: OQMD via LeMat-Bulk, functional PBE.

Computed properties:
space-group type: Pnma (62)

Cell lengths 5.1387, 5.1955, 8.4554 Å; angles 90.00, 90.00, 90.00 degrees
Atoms (fractional coordinates):
Ga1 0.0218 0.9957 0.2500
Ga2 0.5218 0.5043 0.7500
Ga3 0.4782 0.4957 0.2500
Ga4 0.9782 0.0043 0.7500
O1 0.1480 0.3309 0.2500
O2 0.6480 0.1691 0.7500
O3 0.6637 0.3280 0.0881
O4 0.8363 0.8280 0.4119
O5 0.3363 0.6720 0.5881
O6 0.1637 0.1720 0.5881
O7 0.6637 0.3280 0.4119
O8 0.1637 0.1720 0.9119
O9 0.8363 0.8280 0.0881
O10 0.3520 0.8309 0.2500
O11 0.3363 0.6720 0.9119
O12 0.8520 0.6691 0.7500
Ag1 0.0000 0.5000 0.5000
Ag2 0.5000 0.0000 0.5000
Ag3 0.5000 0.0000 0.0000
Ag4 0.0000 0.5000 0.0000

(5)
Crystalline GaAgO2 at its relaxed geometry. Source: OQMD via LeMat-Bulk, functional PBE.

Computed properties:
space-group type: R-3m (166)

Cell lengths 6.4675, 6.4675, 6.4675 Å; angles 26.84, 26.84, 26.84 degrees
Atoms (fractional coordinates):
Ga1 0.5000 0.5000 0.5000
O1 0.1126 0.1126 0.1126
O2 0.8874 0.8874 0.8874
Ag1 0.0000 0.0000 0.0000

(6)
Crystalline Ga2AgO4 at its relaxed geometry. Source: OQMD via LeMat-Bulk, functional PBE.

Computed properties:
space-group type: Fd-3m (227)

Cell lengths 6.1176, 6.1176, 6.1176 Å; angles 119.99, 90.02, 119.99 degrees
Atoms (fractional coordinates):
O1 0.6065 0.2132 0.3934
O2 0.5698 0.7132 0.8566
O3 0.1434 0.7132 0.8565
O4 0.1802 0.7868 0.3934
O5 0.6066 0.2132 0.8198
O6 0.1434 0.2868 0.4302
O7 0.6066 0.7868 0.3935
O8 0.1435 0.2868 0.8566
Ga1 0.3750 0.7500 0.6250
Ga2 0.3750 0.2500 0.6250
Ga3 0.3750 0.7500 0.1250
Ga4 0.8750 0.2500 0.6250
Ag1 0.0000 0.0000 0.0000
Ag2 0.7500 0.5000 0.2500

| no. | energy (eV/cell) |
| --- | --- |
| 1 | -14.26 |
| 2 | -10.48 |
| 3 | -41.40 |
| 4 | -97.22 |
| 5 | -20.70 |
| 6 | -74.45 |